*P*
The following is a SCAN calculation of Re2MoW at its PBEsol-relaxed geometry, from the Alexandria database.

Results
For the volume, the calculation gives 15.12 Å³ per atom. Its crystal system is monoclinic. The calculation puts the density of states at the Fermi level at 0.77 states/eV/atom.

abc: 4.798 4.798 4.810
angles: 99.51 99.51 33.68
Sites, in units of the cell vectors:
Re1 0.250 0.250 0.249
Re2 0.750 0.750 0.751
Mo1 0.500 0.500 0.000
W1 0.000 0.000 0.500

*Q*
The following is a SCAN calculation of Re2MoW at its PBEsol-relaxed geometry, from the Alexandria database.

Results
For the volume, the calculation gives 15.05 Å³ per atom. Its crystal system is orthorhombic. The calculation puts the density of states at the Fermi level at 0.72 states/eV/atom.

abc: 2.696 2.696 8.800
angles: 90.00 90.00 109.72
Sites, in units of the cell vectors:
Re1 0.000 0.000 0.249
Re2 0.000 0.000 0.751
Mo1 0.500 0.500 0.000
W1 0.500 0.500 0.500

Looking at the structures above, which would you pick as the most stable? I would pick *Q*.